Entry 1:
This record from the Open Quantum Materials Database describes a relaxed structure of SmCuSi2Pd. The functional is PBE.

```
data_SmCuSi2Pd
_chemical_formula_sum 'Sm2 Cu2 Si4 Pd2'
_symmetry_space_group_name_H-M 'P 1'
_symmetry_Int_Tables_number 1
_cell_length_a 4.1133
_cell_length_b 4.1133
_cell_length_c 10.0293
_cell_angle_alpha 90.00
_cell_angle_beta 90.00
_cell_angle_gamma 90.00
loop_
_symmetry_equiv_pos_as_xyz
'x,y,z'
loop_
_atom_site_label
_atom_site_fract_x
_atom_site_fract_y
_atom_site_fract_z
Sm1 0.0000 0.0000 0.0000
Sm2 0.5000 0.5000 0.5000
Cu1 0.0000 0.5000 0.2500
Cu2 0.5000 0.0000 0.7500
Si1 0.0000 0.0000 0.3820
Si2 0.0000 0.0000 0.6180
Si3 0.5000 0.5000 0.1180
Si4 0.5000 0.5000 0.8820
Pd1 0.0000 0.5000 0.7500
Pd2 0.5000 0.0000 0.2500
```

energy = -56.71 eV/cell
SG = No. 119

Entry 2:
This record from the Open Quantum Materials Database describes a relaxed structure of Sr2CuSi2Pd3. The functional is PBE.

```
data_Sr2CuSi2Pd3
_chemical_formula_sum 'Sr2 Cu1 Si2 Pd3'
_symmetry_space_group_name_H-M 'P 1'
_symmetry_Int_Tables_number 1
_cell_length_a 4.2651
_cell_length_b 4.2651
_cell_length_c 10.6783
_cell_angle_alpha 90.00
_cell_angle_beta 90.00
_cell_angle_gamma 120.00
loop_
_symmetry_equiv_pos_as_xyz
'x,y,z'
loop_
_atom_site_label
_atom_site_fract_x
_atom_site_fract_y
_atom_site_fract_z
Sr1 0.0000 0.0000 0.0000
Sr2 0.3333 0.6667 0.5009
Cu1 0.0000 0.0000 0.2901
Si1 0.6667 0.3333 0.2427
Si2 0.6667 0.3333 0.7480
Pd1 0.0000 0.0000 0.6948
Pd2 0.3333 0.6667 0.2113
Pd3 0.3333 0.6667 0.8016
```

energy = -38.33 eV/cell
SG = No. 156

Entry 3:
This record from the Open Quantum Materials Database describes a relaxed structure of TaCuSiPd. The functional is PBE.

```
data_TaCuSiPd
_chemical_formula_sum 'Ta4 Cu4 Si4 Pd4'
_symmetry_space_group_name_H-M 'P 1'
_symmetry_Int_Tables_number 1
_cell_length_a 6.1861
_cell_length_b 6.1861
_cell_length_c 6.1861
_cell_angle_alpha 90.00
_cell_angle_beta 90.00
_cell_angle_gamma 90.00
loop_
_symmetry_equiv_pos_as_xyz
'x,y,z'
loop_
_atom_site_label
_atom_site_fract_x
_atom_site_fract_y
_atom_site_fract_z
Ta1 0.0000 0.0000 0.0000
Ta2 0.0000 0.5000 0.5000
Ta3 0.5000 0.0000 0.5000
Ta4 0.5000 0.5000 0.0000
Cu1 0.0000 0.0000 0.5000
Cu2 0.0000 0.5000 0.0000
Cu3 0.5000 0.0000 0.0000
Cu4 0.5000 0.5000 0.5000
Si1 0.2500 0.2500 0.2500
Si2 0.2500 0.7500 0.7500
Si3 0.7500 0.2500 0.7500
Si4 0.7500 0.7500 0.2500
Pd1 0.2500 0.2500 0.7500
Pd2 0.2500 0.7500 0.2500
Pd3 0.7500 0.2500 0.2500
Pd4 0.7500 0.7500 0.7500
```

distance to the lowest polymorph of the same formula = 0 meV/atom
energy = -106.59 eV/cell
SG = No. 216

Entry 4:
This record from the Open Quantum Materials Database describes a relaxed structure of TaCuSiPd. The functional is PBE.

```
data_TaCuSiPd
_chemical_formula_sum 'Ta4 Cu4 Si4 Pd4'
_symmetry_space_group_name_H-M 'P 1'
_symmetry_Int_Tables_number 1
_cell_length_a 6.1772
_cell_length_b 6.1772
_cell_length_c 6.1772
_cell_angle_alpha 90.00
_cell_angle_beta 90.00
_cell_angle_gamma 90.00
loop_
_symmetry_equiv_pos_as_xyz
'x,y,z'
loop_
_atom_site_label
_atom_site_fract_x
_atom_site_fract_y
_atom_site_fract_z
Ta1 0.0000 0.0000 0.0000
Ta2 0.0000 0.5000 0.5000
Ta3 0.5000 0.0000 0.5000
Ta4 0.5000 0.5000 0.0000
Cu1 0.2500 0.2500 0.7500
Cu2 0.2500 0.7500 0.2500
Cu3 0.7500 0.2500 0.2500
Cu4 0.7500 0.7500 0.7500
Si1 0.0000 0.0000 0.5000
Si2 0.0000 0.5000 0.0000
Si3 0.5000 0.0000 0.0000
Si4 0.5000 0.5000 0.5000
Pd1 0.2500 0.2500 0.2500
Pd2 0.2500 0.7500 0.7500
Pd3 0.7500 0.2500 0.7500
Pd4 0.7500 0.7500 0.2500
```

distance to the lowest polymorph of the same formula = 148 meV/atom
energy = -104.22 eV/cell
SG = No. 216

Entry 5:
This record from the Open Quantum Materials Database describes a relaxed structure of TbCuSi2Pd. The functional is PBE.

```
data_TbCuSi2Pd
_chemical_formula_sum 'Tb2 Cu2 Si4 Pd2'
_symmetry_space_group_name_H-M 'P 1'
_symmetry_Int_Tables_number 1
_cell_length_a 4.0583
_cell_length_b 4.0583
_cell_length_c 10.0540
_cell_angle_alpha 90.00
_cell_angle_beta 90.00
_cell_angle_gamma 90.00
loop_
_symmetry_equiv_pos_as_xyz
'x,y,z'
loop_
_atom_site_label
_atom_site_fract_x
_atom_site_fract_y
_atom_site_fract_z
Tb1 0.0000 0.0000 0.0000
Tb2 0.5000 0.5000 0.5000
Cu1 0.0000 0.5000 0.7500
Cu2 0.5000 0.0000 0.2500
Si1 0.0000 0.0000 0.3838
Si2 0.0000 0.0000 0.6162
Si3 0.5000 0.5000 0.1162
Si4 0.5000 0.5000 0.8838
Pd1 0.0000 0.5000 0.2500
Pd2 0.5000 0.0000 0.7500
```

energy = -56.54 eV/cell
SG = No. 119

Entry 6:
This record from the Open Quantum Materials Database describes a relaxed structure of CuSiTcPd. The functional is PBE.

```
data_CuSiTcPd
_chemical_formula_sum 'Cu4 Si4 Tc4 Pd4'
_symmetry_space_group_name_H-M 'P 1'
_symmetry_Int_Tables_number 1
_cell_length_a 6.0306
_cell_length_b 6.0306
_cell_length_c 6.0306
_cell_angle_alpha 90.00
_cell_angle_beta 90.00
_cell_angle_gamma 90.00
loop_
_symmetry_equiv_pos_as_xyz
'x,y,z'
loop_
_atom_site_label
_atom_site_fract_x
_atom_site_fract_y
_atom_site_fract_z
Cu1 0.0000 0.0000 0.0000
Cu2 0.0000 0.5000 0.5000
Cu3 0.5000 0.0000 0.5000
Cu4 0.5000 0.5000 0.0000
Si1 0.2500 0.2500 0.7500
Si2 0.2500 0.7500 0.2500
Si3 0.7500 0.2500 0.2500
Si4 0.7500 0.7500 0.7500
Tc1 0.0000 0.0000 0.5000
Tc2 0.0000 0.5000 0.0000
Tc3 0.5000 0.0000 0.0000
Tc4 0.5000 0.5000 0.5000
Pd1 0.2500 0.2500 0.2500
Pd2 0.2500 0.7500 0.7500
Pd3 0.7500 0.2500 0.7500
Pd4 0.7500 0.7500 0.2500
```

distance to the lowest polymorph of the same formula = 0 meV/atom
energy = -98.97 eV/cell
SG = No. 216

Entry 7:
This record from the Open Quantum Materials Database describes a relaxed structure of TmCuSi2Pd. The functional is PBE.

```
data_TmCuSi2Pd
_chemical_formula_sum 'Tm2 Cu2 Si4 Pd2'
_symmetry_space_group_name_H-M 'P 1'
_symmetry_Int_Tables_number 1
_cell_length_a 4.0002
_cell_length_b 4.0002
_cell_length_c 10.1135
_cell_angle_alpha 90.00
_cell_angle_beta 90.00
_cell_angle_gamma 90.00
loop_
_symmetry_equiv_pos_as_xyz
'x,y,z'
loop_
_atom_site_label
_atom_site_fract_x
_atom_site_fract_y
_atom_site_fract_z
Tm1 0.0000 0.0000 0.0000
Tm2 0.5000 0.5000 0.5000
Cu1 0.0000 0.5000 0.7500
Cu2 0.5000 0.0000 0.2500
Si1 0.0000 0.0000 0.3859
Si2 0.0000 0.0000 0.6141
Si3 0.5000 0.5000 0.1141
Si4 0.5000 0.5000 0.8859
Pd1 0.0000 0.5000 0.2500
Pd2 0.5000 0.0000 0.7500
```

energy = -55.94 eV/cell
SG = No. 119

Entry 8:
This record from the Open Quantum Materials Database describes a relaxed structure of YCuSi2Pd. The functional is PBE.

```
data_YCuSi2Pd
_chemical_formula_sum 'Y2 Cu2 Si4 Pd2'
_symmetry_space_group_name_H-M 'P 1'
_symmetry_Int_Tables_number 1
_cell_length_a 4.0500
_cell_length_b 4.0500
_cell_length_c 10.1047
_cell_angle_alpha 90.00
_cell_angle_beta 90.00
_cell_angle_gamma 90.00
loop_
_symmetry_equiv_pos_as_xyz
'x,y,z'
loop_
_atom_site_label
_atom_site_fract_x
_atom_site_fract_y
_atom_site_fract_z
Y1 0.0000 0.0000 0.0000
Y2 0.5000 0.5000 0.5000
Cu1 0.0000 0.5000 0.7500
Cu2 0.5000 0.0000 0.2500
Si1 0.0000 0.0000 0.3844
Si2 0.0000 0.0000 0.6156
Si3 0.5000 0.5000 0.1156
Si4 0.5000 0.5000 0.8844
Pd1 0.0000 0.5000 0.2500
Pd2 0.5000 0.0000 0.7500
```

energy = -60.21 eV/cell
SG = No. 119

Entry 9:
This record from the Open Quantum Materials Database describes a relaxed structure of ZnCuSiPd. The functional is PBE.

```
data_ZnCuSiPd
_chemical_formula_sum 'Zn4 Cu4 Si4 Pd4'
_symmetry_space_group_name_H-M 'P 1'
_symmetry_Int_Tables_number 1
_cell_length_a 6.0597
_cell_length_b 6.0597
_cell_length_c 6.0597
_cell_angle_alpha 90.00
_cell_angle_beta 90.00
_cell_angle_gamma 90.00
loop_
_symmetry_equiv_pos_as_xyz
'x,y,z'
loop_
_atom_site_label
_atom_site_fract_x
_atom_site_fract_y
_atom_site_fract_z
Zn1 0.0000 0.0000 0.0000
Zn2 0.0000 0.5000 0.5000
Zn3 0.5000 0.0000 0.5000
Zn4 0.5000 0.5000 0.0000
Cu1 0.0000 0.0000 0.5000
Cu2 0.0000 0.5000 0.0000
Cu3 0.5000 0.0000 0.0000
Cu4 0.5000 0.5000 0.5000
Si1 0.2500 0.2500 0.7500
Si2 0.2500 0.7500 0.2500
Si3 0.7500 0.2500 0.2500
Si4 0.7500 0.7500 0.7500
Pd1 0.2500 0.2500 0.2500
Pd2 0.2500 0.7500 0.7500
Pd3 0.7500 0.2500 0.7500
Pd4 0.7500 0.7500 0.2500
```

distance to the lowest polymorph of the same formula = 147 meV/atom
energy = -63.45 eV/cell
SG = No. 216

Entry 10:
This record from the Open Quantum Materials Database describes a relaxed structure of ZnCuSiPd. The functional is PBE.

```
data_ZnCuSiPd
_chemical_formula_sum 'Zn4 Cu4 Si4 Pd4'
_symmetry_space_group_name_H-M 'P 1'
_symmetry_Int_Tables_number 1
_cell_length_a 6.0226
_cell_length_b 6.0226
_cell_length_c 6.0226
_cell_angle_alpha 90.00
_cell_angle_beta 90.00
_cell_angle_gamma 90.00
loop_
_symmetry_equiv_pos_as_xyz
'x,y,z'
loop_
_atom_site_label
_atom_site_fract_x
_atom_site_fract_y
_atom_site_fract_z
Zn1 0.0000 0.0000 0.0000
Zn2 0.0000 0.5000 0.5000
Zn3 0.5000 0.0000 0.5000
Zn4 0.5000 0.5000 0.0000
Cu1 0.2500 0.2500 0.7500
Cu2 0.2500 0.7500 0.2500
Cu3 0.7500 0.2500 0.2500
Cu4 0.7500 0.7500 0.7500
Si1 0.0000 0.0000 0.5000
Si2 0.0000 0.5000 0.0000
Si3 0.5000 0.0000 0.0000
Si4 0.5000 0.5000 0.5000
Pd1 0.2500 0.2500 0.2500
Pd2 0.2500 0.7500 0.7500
Pd3 0.7500 0.2500 0.7500
Pd4 0.7500 0.7500 0.2500
```

distance to the lowest polymorph of the same formula = 0 meV/atom
energy = -65.80 eV/cell
SG = No. 216

Entry 11:
This record from the Open Quantum Materials Database describes a relaxed structure of ZrCuSiPd. The functional is PBE.

```
data_ZrCuSiPd
_chemical_formula_sum 'Zr4 Cu4 Si4 Pd4'
_symmetry_space_group_name_H-M 'P 1'
_symmetry_Int_Tables_number 1
_cell_length_a 6.2981
_cell_length_b 6.2981
_cell_length_c 6.2981
_cell_angle_alpha 90.00
_cell_angle_beta 90.00
_cell_angle_gamma 90.00
loop_
_symmetry_equiv_pos_as_xyz
'x,y,z'
loop_
_atom_site_label
_atom_site_fract_x
_atom_site_fract_y
_atom_site_fract_z
Zr1 0.0000 0.0000 0.0000
Zr2 0.0000 0.5000 0.5000
Zr3 0.5000 0.0000 0.5000
Zr4 0.5000 0.5000 0.0000
Cu1 0.2500 0.2500 0.7500
Cu2 0.2500 0.7500 0.2500
Cu3 0.7500 0.2500 0.2500
Cu4 0.7500 0.7500 0.7500
Si1 0.0000 0.0000 0.5000
Si2 0.0000 0.5000 0.0000
Si3 0.5000 0.0000 0.0000
Si4 0.5000 0.5000 0.5000
Pd1 0.2500 0.2500 0.2500
Pd2 0.2500 0.7500 0.7500
Pd3 0.7500 0.2500 0.7500
Pd4 0.7500 0.7500 0.2500
```

distance to the lowest polymorph of the same formula = 0 meV/atom
energy = -98.23 eV/cell
SG = No. 216

Entry 12:
This record from the Open Quantum Materials Database describes a relaxed structure of ZrCuSiPd. The functional is PBE.

```
data_ZrCuSiPd
_chemical_formula_sum 'Zr4 Cu4 Si4 Pd4'
_symmetry_space_group_name_H-M 'P 1'
_symmetry_Int_Tables_number 1
_cell_length_a 6.3221
_cell_length_b 6.3221
_cell_length_c 6.3221
_cell_angle_alpha 90.00
_cell_angle_beta 90.00
_cell_angle_gamma 90.00
loop_
_symmetry_equiv_pos_as_xyz
'x,y,z'
loop_
_atom_site_label
_atom_site_fract_x
_atom_site_fract_y
_atom_site_fract_z
Zr1 0.0000 0.0000 0.0000
Zr2 0.0000 0.5000 0.5000
Zr3 0.5000 0.0000 0.5000
Zr4 0.5000 0.5000 0.0000
Cu1 0.0000 0.0000 0.5000
Cu2 0.0000 0.5000 0.0000
Cu3 0.5000 0.0000 0.0000
Cu4 0.5000 0.5000 0.5000
Si1 0.2500 0.2500 0.2500
Si2 0.2500 0.7500 0.7500
Si3 0.7500 0.2500 0.7500
Si4 0.7500 0.7500 0.2500
Pd1 0.2500 0.2500 0.7500
Pd2 0.2500 0.7500 0.2500
Pd3 0.7500 0.2500 0.2500
Pd4 0.7500 0.7500 0.7500
```

distance to the lowest polymorph of the same formula = 21 meV/atom
energy = -97.89 eV/cell
SG = No. 216